Material: RuPt2Rh
Method: DFT, GGA-PBE
State: relaxed

Output
Energy above the lowest structure with this stoichiometry = 5.5 kJ/mol of atoms
Spin magnetization = 0.323 μB/f.u.
Formation enthalpy at 0 K = 0.02 eV per atom
Calculated density = 16.64 g/cm³

POSCAR file:
```
RuPt2Rh
1.0
-0.811 5.962 -6.920
-0.881 3.627 -8.376
-3.191 4.617 -7.252
Ru Rh Pt
1 1 2
Cartesian
-3.662 10.654 -16.911
-1.221 3.551 -5.637
-0.005 0.014 -0.023
-2.436 7.089 -11.251
```

=====

Material: PmDy4Hg2
Method: DFT, GGA-PBE
State: relaxed

Output
Energy above the lowest structure with this stoichiometry = 11.2 kJ/mol of atoms
Spin magnetization = 0.014 μB/f.u.
Formation enthalpy at 0 K = 0.03 eV per atom
Calculated density = 8.76 g/cm³

POSCAR file:
```
PmDy4Hg2
1.0
5.047 0.000 0.000
2.523 4.371 0.000
2.523 1.457 10.282
Pm Dy Hg
1 4 2
Cartesian
5.047 2.914 5.141
7.570 4.371 9.174
7.570 4.371 3.264
2.523 1.457 1.109
2.523 1.457 7.019
5.047 2.914 2.006
5.047 2.914 8.276
```

=====

Material: InPS
Method: DFT, GGA-PBE
State: relaxed

Output
Uncorrected formation energy = -12.2 kJ/mol of atoms
Spin magnetization = 0.000 μB/f.u.
Calculated density = 4.27 g/cm³

POSCAR file:
```
InPS
1.0
-5.398 0.602 -1.470
-0.315 -4.195 -0.561
-0.872 -0.700 5.725
In P S
2 2 2
Cartesian
-5.892 -2.139 3.257
-1.597 -2.297 2.022
-3.475 0.214 0.353
-5.456 0.478 -0.514
-2.940 -1.873 -0.398
-3.510 -0.061 2.430
```

=====

Material: ZnRuW2
Method: DFT, GGA-PBE
State: relaxed

Output
Spin magnetization = 0.000 μB/f.u.
Formation enthalpy at 0 K = 0.23 eV per atom
Calculated density = 14.64 g/cm³

POSCAR file:
```
ZnRuW2
1.0
-3.672 2.294 1.987
-4.704 0.015 0.757
-0.106 -2.260 4.276
Ru W Zn
1 2 1
Cartesian
-2.141 0.020 1.758
-8.324 2.271 2.771
-6.366 0.061 5.224
-4.271 0.032 3.522
```

=====

Material: RbHf2HI
Method: DFT, GGA-PBE
State: relaxed

Output
Final energy = -3.6487 eV/atom
Spin magnetization = 2.739 μB/f.u.
Calculated density = 4.46 g/cm³

POSCAR file:
```
RbHf2HI
1.0
5.346 0.000 0.000
0.000 7.438 0.000
0.000 0.000 5.346
I H Hf Rb
1 1 2 1
Cartesian
0.000 0.000 0.000
2.673 3.719 2.673
0.000 0.000 2.673
2.673 0.000 0.000
0.000 3.719 0.000
```

=====

Material: Be2AlCl
Method: DFT, GGA-PBE
State: relaxed

Output
Energy above the lowest structure with this stoichiometry = 59.0 kJ/mol of atoms
Uncorrected formation energy = 56.3 kJ/mol of atoms
Spin magnetization = 0.000 μB/f.u.
Calculated density = 2.25 g/cm³

POSCAR file:
```
Be2AlCl
1.0
2.722 0.000 0.000
0.000 4.511 0.000
0.000 0.000 4.826
Be Al Cl
2 1 1
Cartesian
0.000 0.000 0.000
1.361 2.256 0.000
0.000 2.256 2.413
1.361 0.000 2.413
```

=====

Material: InBiAs3
Method: DFT, GGA-PBE
State: relaxed

Output
Energy above the lowest structure with this stoichiometry = 0.0 kJ/mol of atoms
Spin magnetization = 0.000 μB/f.u.
Formation enthalpy at 0 K = 0.77 eV per atom
Calculated density = 6.48 g/cm³

POSCAR file:
```
InBiAs3
1.0
-3.994 -2.570 2.118
0.165 -3.456 -3.882
3.326 -2.915 2.736
As Bi In
3 1 1
Cartesian
0.082 -1.728 -1.941
1.663 -1.457 1.368
-1.997 -1.285 1.059
-0.252 -4.470 0.486
0.000 0.000 0.000
```

=====

Material: Dy3ZrCu2
Method: DFT, GGA-PBE
State: relaxed

Output
Spin magnetization = 0.000 μB/f.u.
Formation enthalpy at 0 K = -0.13 eV per atom
Calculated density = 8.54 g/cm³

POSCAR file:
```
Dy3ZrCu2
1.0
3.435 0.000 0.000
0.000 3.435 0.000
0.000 0.000 11.637
Dy Zr Cu
3 1 2
Cartesian
0.000 0.000 0.000
0.000 0.000 8.142
0.000 0.000 3.494
1.717 1.717 5.818
1.717 1.717 9.892
1.717 1.717 1.744
```

=====

Which value of calculated density does entry 3 give? 4.27 g/cm³